Arrangement P

{"formula": "MgFeBiW", "functional": "PBE", "state": "optimized geometry", "lattice_angstrom": [[0.000, 3.287, 3.287], [3.287, 0.000, 3.287], [3.287, 3.287, 0.000]], "species": ["Bi", "Fe", "Mg", "W"], "fractional_positions": [[0.000, 0.000, 0.000], [0.750, 0.750, 0.750], [0.500, 0.500, 0.500], [0.250, 0.250, 0.250]]}


Arrangement Q

{"formula": "MgFeBiW", "functional": "PBE", "state": "optimized geometry", "lattice_angstrom": [[0.000, 3.265, 3.265], [3.265, 0.000, 3.265], [3.265, 3.265, 0.000]], "species": ["Bi", "Fe", "Mg", "W"], "fractional_positions": [[0.000, 0.000, 0.000], [0.750, 0.750, 0.750], [0.250, 0.250, 0.250], [0.500, 0.500, 0.500]]}


The relative energies come out as arrangement P 1.5; arrangement Q 0.0, with values in kJ/mol of atoms.


Arrangement P

{"formula": "MgZrFeBi", "functional": "PBE", "state": "optimized geometry", "lattice_angstrom": [[0.000, 3.435, 3.435], [3.435, 0.000, 3.435], [3.435, 3.435, 0.000]], "species": ["Bi", "Fe", "Mg", "Zr"], "fractional_positions": [[0.000, 0.000, 0.000], [0.750, 0.750, 0.750], [0.500, 0.500, 0.500], [0.250, 0.250, 0.250]]}


Arrangement Q

{"formula": "MgZrFeBi", "functional": "PBE", "state": "optimized geometry", "lattice_angstrom": [[0.074, 0.005, 4.761], [-4.053, 0.525, 2.443], [-1.819, -3.680, 2.413]], "species": ["Bi", "Fe", "Mg", "Zr"], "fractional_positions": [[0.000, 0.000, 0.000], [0.750, 0.750, 0.750], [0.250, 0.250, 0.250], [0.500, 0.500, 0.500]]}


The relative energies come out as arrangement P 12.8; arrangement Q 0.0, with values in kJ/mol of atoms.


Arrangement P

{"formula": "YFeBiMo", "functional": "PBE", "state": "optimized geometry", "lattice_angstrom": [[-3.473, -2.659, -1.907], [-3.952, 2.083, -1.677], [-0.809, 0.147, -4.700]], "species": ["Bi", "Fe", "Mo", "Y"], "fractional_positions": [[0.000, 0.000, 0.000], [0.750, 0.750, 0.750], [0.250, 0.250, 0.250], [0.500, 0.500, 0.500]]}


Arrangement Q

{"formula": "YFeBiMo", "functional": "PBE", "state": "optimized geometry", "lattice_angstrom": [[0.000, 3.447, 3.447], [3.447, 0.000, 3.447], [3.447, 3.447, 0.000]], "species": ["Bi", "Fe", "Mo", "Y"], "fractional_positions": [[0.000, 0.000, 0.000], [0.750, 0.750, 0.750], [0.500, 0.500, 0.500], [0.250, 0.250, 0.250]]}


The relative energies come out as arrangement P 0.0; arrangement Q 12.2, with values in kJ/mol of atoms.